MnCdSnF2 | PBE with a Hubbard U | optimized geometry

Cell lengths 4.2423, 6.5612, 4.2423 Å; angles 90.00, 90.00, 90.00 degrees
Atoms (fractional coordinates):
1 Mn 0.0000 0.5000 0.0000
2 F 0.0000 0.0000 0.5000
3 F 0.5000 0.0000 0.0000
4 Sn 0.5000 0.5000 0.5000
5 Cd 0.0000 0.0000 0.0000

- Electronic total energy: -19.85 eV/cell
- N(E_F): 2.53 states/eV/cell
- Space-group type: P4/mmm
- Energy above the most stable polymorph in this dataset: 176 meV per atom